[1]
Compound: MgNiN2Cl
Source: Alexandria
Functional: GGA-PBE
Structure: relaxed

Cell: 3.6111 3.6111 5.5659 Å, 90.00 90.00 90.00°
Atoms (fractional coordinates):
Mg (0.0000, 0.0000, 0.0000)
Ni (0.5000, 0.5000, 0.5000)
N (0.0000, 0.5000, 0.5000)
N (0.5000, 0.0000, 0.5000)
Cl (0.5000, 0.5000, 0.0000)

Summary:
Its crystal system is tetragonal. The calculated volume comes out at 14.516 A^3/atom. The calculation puts the formation energy from raw total energies at 613.5 meV per atom. The calculation puts the calculated total energy at -22.81 eV per cell.

---

[2]
Compound: MgPNCl2
Source: Alexandria
Functional: GGA-PBE
Structure: relaxed

Cell: 5.6966 5.6966 3.3289 Å, 90.00 90.00 90.00°
Atoms (fractional coordinates):
Mg (0.0000, 0.0000, 0.0000)
P (0.5000, 0.5000, 0.0000)
N (0.5000, 0.5000, 0.5000)
Cl (0.0000, 0.5000, 0.5000)
Cl (0.5000, 0.0000, 0.5000)

Summary:
The excess energy over the best structure of this formula in the dataset is 0.00 eV/f.u. Its crystal system is tetragonal. The calculated volume comes out at 21.606 A^3/atom. The calculation puts the formation energy from raw total energies at 321.9 meV per atom. The calculation puts the calculated total energy at -17.41 eV per cell.

---

[3]
Compound: MgPNCl2
Source: Alexandria
Functional: GGA-PBE
Structure: relaxed

Cell: 4.7060 4.7060 6.2282 Å, 90.00 90.00 90.00°
Atoms (fractional coordinates):
Mg (0.0000, 0.0000, 0.0000)
P (0.0000, 0.0000, 0.5000)
N (0.5000, 0.5000, 0.5000)
Cl (0.0000, 0.5000, 0.0000)
Cl (0.5000, 0.0000, 0.0000)

Summary:
The excess energy over the best structure of this formula in the dataset is 2.44 eV/f.u. Its crystal system is tetragonal. The calculated volume comes out at 27.587 A^3/atom. The calculation puts the formation energy from raw total energies at 809.8 meV per atom. The calculation puts the calculated total energy at -14.97 eV per cell.

---

[4]
Compound: MgP2NCl
Source: Alexandria
Functional: GGA-PBE
Structure: relaxed

Cell: 4.9874 4.9874 4.9041 Å, 90.00 90.00 90.00°
Atoms (fractional coordinates):
Mg (0.0000, 0.0000, 0.0000)
P (0.0000, 0.5000, 0.0000)
P (0.5000, 0.0000, 0.0000)
N (0.5000, 0.5000, 0.5000)
Cl (0.0000, 0.0000, 0.5000)

Summary:
The excess energy over the best structure of this formula in the dataset is 5.25 eV/f.u. Its crystal system is tetragonal. The calculated volume comes out at 24.397 A^3/atom. The calculation puts the formation energy from raw total energies at 1462.9 meV per atom. The calculation puts the calculated total energy at -15.27 eV per cell.

---

[5]
Compound: MgP2NCl
Source: Alexandria
Functional: GGA-PBE
Structure: relaxed

Cell: 3.7532 3.7532 6.1713 Å, 90.00 90.00 90.00°
Atoms (fractional coordinates):
Mg (0.0000, 0.0000, 0.0000)
P (0.0000, 0.5000, 0.5000)
P (0.5000, 0.0000, 0.5000)
N (0.5000, 0.5000, 0.5000)
Cl (0.5000, 0.5000, 0.0000)

Summary:
The excess energy over the best structure of this formula in the dataset is 0.00 eV/f.u. Its crystal system is tetragonal. The calculated volume comes out at 17.387 A^3/atom. The calculation puts the formation energy from raw total energies at 413.7 meV per atom. The calculation puts the calculated total energy at -20.52 eV per cell.

---

[6]
Compound: MgPdNCl2
Source: Alexandria
Functional: GGA-PBE
Structure: relaxed

Cell: 4.7990 4.7990 3.8658 Å, 90.00 90.00 90.00°
Atoms (fractional coordinates):
Mg (0.0000, 0.0000, 0.0000)
Pd (0.5000, 0.5000, 0.0000)
N (0.0000, 0.0000, 0.5000)
Cl (0.0000, 0.5000, 0.5000)
Cl (0.5000, 0.0000, 0.5000)

Summary:
Its crystal system is tetragonal. The calculated volume comes out at 17.806 A^3/atom. The calculation puts the formation energy from raw total energies at 386.9 meV per atom. The calculation puts the calculated total energy at -16.87 eV per cell.

---

[7]
Compound: MgPdN2Cl
Source: Alexandria
Functional: GGA-PBE
Structure: relaxed

Cell: 4.1069 4.1069 4.4577 Å, 90.00 90.00 90.00°
Atoms (fractional coordinates):
Mg (0.0000, 0.0000, 0.0000)
Pd (0.5000, 0.5000, 0.0000)
N (0.0000, 0.5000, 0.5000)
N (0.5000, 0.0000, 0.5000)
Cl (0.5000, 0.5000, 0.5000)

Summary:
Its crystal system is tetragonal. The calculated volume comes out at 15.037 A^3/atom. The calculation puts the formation energy from raw total energies at 1776.4 meV per atom. The calculation puts the calculated total energy at -16.40 eV per cell.

---

[8]
Compound: Rb2MgNCl6
Source: Alexandria
Functional: GGA-PBE
Structure: relaxed

Cell: 7.0961 7.0961 7.0961 Å, 114.24 114.24 100.30°
Atoms (fractional coordinates):
Rb (0.2500, 0.7500, 0.5000)
Rb (0.7500, 0.2500, 0.5000)
Mg (0.0000, 0.0000, 0.0000)
N (0.5000, 0.5000, 0.0000)
Cl (0.2259, 0.2259, 0.4519)
Cl (0.2259, 0.7741, 0.0000)
Cl (0.2806, 0.2806, 0.0000)
Cl (0.7194, 0.7194, 0.0000)
Cl (0.7741, 0.2259, 0.0000)
Cl (0.7741, 0.7741, 0.5481)

Summary:
Its crystal system is tetragonal. The calculated volume comes out at 26.990 A^3/atom. The calculation puts the formation energy from raw total energies at -803.2 meV per atom. The calculation puts the calculated total energy at -30.97 eV per cell.

---

[9]
Compound: MgSN2Cl
Source: Alexandria
Functional: GGA-PBE
Structure: relaxed

Cell: 4.1217 4.1217 5.5003 Å, 90.00 90.00 90.00°
Atoms (fractional coordinates):
Mg (0.0000, 0.0000, 0.0000)
S (0.0000, 0.0000, 0.5000)
N (0.0000, 0.5000, 0.0000)
N (0.5000, 0.0000, 0.0000)
Cl (0.5000, 0.5000, 0.5000)

Summary:
The excess energy over the best structure of this formula in the dataset is 0.00 eV/f.u. Its crystal system is tetragonal. The calculated volume comes out at 18.688 A^3/atom. The calculation puts the formation energy from raw total energies at 1471.9 meV per atom. The calculation puts the calculated total energy at -16.86 eV per cell.

---

[10]
Compound: MgSNCl2
Source: Alexandria
Functional: GGA-PBE
Structure: relaxed

Cell: 4.9695 4.9695 5.1687 Å, 90.00 90.00 90.00°
Atoms (fractional coordinates):
Mg (0.0000, 0.0000, 0.0000)
S (0.0000, 0.0000, 0.5000)
N (0.5000, 0.5000, 0.5000)
Cl (0.0000, 0.5000, 0.0000)
Cl (0.5000, 0.0000, 0.0000)

Summary:
The excess energy over the best structure of this formula in the dataset is 0.45 eV/f.u. Its crystal system is tetragonal. The calculated volume comes out at 25.529 A^3/atom. The calculation puts the formation energy from raw total energies at 567.0 meV per atom. The calculation puts the calculated total energy at -14.91 eV per cell.

---

[11]
Compound: MgSN2Cl
Source: Alexandria
Functional: GGA-PBE
Structure: relaxed

Cell: 3.9338 3.9338 4.7874 Å, 90.00 90.00 90.00°
Atoms (fractional coordinates):
Mg (0.0000, 0.0000, 0.0000)
S (0.5000, 0.5000, 0.0000)
N (0.0000, 0.5000, 0.5000)
N (0.5000, 0.0000, 0.5000)
Cl (0.5000, 0.5000, 0.5000)

Summary:
The excess energy over the best structure of this formula in the dataset is 1.12 eV/f.u. Its crystal system is tetragonal. The calculated volume comes out at 14.817 A^3/atom. The calculation puts the formation energy from raw total energies at 1696.7 meV per atom. The calculation puts the calculated total energy at -15.74 eV per cell.

---

[12]
Compound: MgSNCl2
Source: Alexandria
Functional: GGA-PBE
Structure: relaxed

Cell: 4.2418 4.2418 4.6775 Å, 90.00 90.00 90.00°
Atoms (fractional coordinates):
Mg (0.0000, 0.0000, 0.0000)
S (0.5000, 0.5000, 0.0000)
N (0.5000, 0.5000, 0.5000)
Cl (0.0000, 0.5000, 0.5000)
Cl (0.5000, 0.0000, 0.5000)

Summary:
The excess energy over the best structure of this formula in the dataset is 0.00 eV/f.u. Its crystal system is tetragonal. The calculated volume comes out at 16.832 A^3/atom. The calculation puts the formation energy from raw total energies at 477.6 meV per atom. The calculation puts the calculated total energy at -15.35 eV per cell.

---

[13]
Compound: MgSe2NCl
Source: Alexandria
Functional: GGA-PBE
Structure: relaxed

Cell: 5.1187 5.1187 3.8328 Å, 90.00 90.00 90.00°
Atoms (fractional coordinates):
Mg (0.0000, 0.0000, 0.0000)
Se (0.0000, 0.5000, 0.5000)
Se (0.5000, 0.0000, 0.5000)
N (0.5000, 0.5000, 0.0000)
Cl (0.5000, 0.5000, 0.5000)

Summary:
The excess energy over the best structure of this formula in the dataset is 1.03 eV/f.u. Its crystal system is tetragonal. The calculated volume comes out at 20.085 A^3/atom. The calculation puts the formation energy from raw total energies at 1044.5 meV per atom. The calculation puts the calculated total energy at -13.51 eV per cell.